[1]
Rb2CaCu2Cl6: relaxed, PBE.

Calculated values
uncorrected energy	-3.63	eV per atom
space-group type	No. 12
theoretical density	2.88	g/cm³
crystal system	monoclinic

Structure (POSCAR):
```
Rb2CaCu2Cl6
1.0
-4.588 4.803 3.262
3.700 -4.956 4.108
4.155 5.927 -2.885
Rb Ca Cu Cl
2 1 2 6
Direct
0.726 0.453 0.203
0.274 0.547 0.797
0.500 0.000 0.500
0.946 0.893 0.784
0.054 0.107 0.216
0.745 0.490 0.649
0.206 0.906 0.205
0.300 0.094 0.795
0.794 0.094 0.795
0.700 0.906 0.205
0.255 0.510 0.351
```

=====

[2]
LaTiCd2: relaxed, PBE.

Calculated values
uncorrected energy	-3.27	eV per atom
space-group type	No. 122
theoretical density	6.46	g/cm³
crystal system	tetragonal

Structure (POSCAR):
```
LaTiCd2
1.0
4.366 0.000 0.000
0.000 4.366 0.000
2.183 2.183 11.110
Cd Ti La
4 2 2
Direct
0.587 0.125 0.250
0.163 0.625 0.250
0.375 0.413 0.750
0.875 0.837 0.750
0.500 0.500 0.000
0.250 0.750 0.500
0.000 0.000 0.000
0.750 0.250 0.500
```

=====

[3]
PmAs2Ru: relaxed, PBE.

Calculated values
uncorrected energy	-6.13	eV per atom
space-group type	No. 123
theoretical density	8.53	g/cm³
crystal system	tetragonal

Structure (POSCAR):
```
PmAs2Ru
1.0
3.440 0.000 0.000
0.000 4.734 0.000
0.000 0.000 4.734
Ru As Pm
1 2 1
Direct
0.500 0.500 0.500
0.000 0.000 0.500
0.000 0.500 0.000
0.500 0.000 0.000
```

=====

[4]
AsOsRu: relaxed, PBE.

Calculated values
uncorrected energy	-8.06	eV per atom
space-group type	No. 216
theoretical density	11.89	g/cm³
crystal system	cubic

Structure (POSCAR):
```
AsOsRu
1.0
4.167 0.000 0.000
2.084 3.609 0.000
2.084 1.203 3.402
Ru As Os
1 1 1
Direct
0.000 0.000 0.000
0.500 0.500 0.500
0.250 0.250 0.250
```

=====

[5]
Ba4TlSb: relaxed, PBE.

Calculated values
uncorrected energy	-2.24	eV per atom
space-group type	No. 216
theoretical density	5.46	g/cm³
crystal system	cubic

Structure (POSCAR):
```
Ba4TlSb
1.0
0.000 5.106 5.106
5.106 0.000 5.106
5.106 5.106 0.000
Ba Tl Sb
4 1 1
Direct
0.871 0.376 0.376
0.376 0.376 0.871
0.376 0.871 0.376
0.376 0.376 0.376
0.000 0.000 0.000
0.750 0.750 0.750
```

=====

[6]
Au: relaxed, PBE.

Calculated values
uncorrected energy	-2.64	eV per atom
space-group type	No. 229
theoretical density	9.13	g/cm³
crystal system	cubic

Structure (POSCAR):
```
Au
1.0
7.548 0.000 0.000
0.000 7.548 0.000
0.000 0.000 7.548
Au
12
Direct
0.250 0.000 0.500
0.750 0.000 0.500
0.000 0.500 0.250
0.000 0.500 0.750
0.500 0.250 0.000
0.500 0.750 0.000
0.000 0.750 0.500
0.000 0.250 0.500
0.750 0.500 0.000
0.250 0.500 0.000
0.500 0.000 0.750
0.500 0.000 0.250
```

=====

[7]
TmPaAu2: relaxed, PBE.

Calculated values
uncorrected energy	-5.67	eV per atom
space-group type	No. 123
theoretical density	14.43	g/cm³
crystal system	tetragonal

Structure (POSCAR):
```
TmPaAu2
1.0
-1.775 2.119 -2.070
-2.193 0.682 2.579
4.419 5.859 2.207
Tm Pa Au
1 1 2
Direct
0.500 0.500 0.000
0.500 0.500 0.500
0.000 0.000 0.767
0.000 0.000 0.233
```

=====

[8]
PmDy3Hg2: relaxed, PBE.

Calculated values
uncorrected energy	-3.54	eV per atom
space-group type	No. 26
theoretical density	10.07	g/cm³
crystal system	orthorhombic

Structure (POSCAR):
```
PmDy3Hg2
1.0
5.120 0.000 0.000
0.000 7.163 0.000
0.000 0.000 9.296
Pm Dy Hg
2 6 4
Direct
0.500 0.515 0.557
0.500 0.015 0.443
0.000 0.485 0.943
0.000 0.985 0.057
0.500 0.668 0.172
0.500 0.168 0.828
0.000 0.332 0.322
0.000 0.832 0.678
0.500 0.741 0.853
0.500 0.241 0.147
0.000 0.258 0.650
0.000 0.758 0.350
```

=====

[9]
TaFeP2: relaxed, PBE.

Calculated values
uncorrected energy	-8.16	eV per atom
space-group type	No. 8
theoretical density	9.17	g/cm³
crystal system	monoclinic

Structure (POSCAR):
```
TaFeP2
1.0
4.479 0.000 0.029
3.388 2.930 0.029
1.056 0.393 4.128
Fe P Ta
1 2 1
Direct
0.267 0.267 0.155
0.989 0.989 0.058
0.750 0.750 0.732
0.494 0.494 0.554
```

=====

[10]
NbGe2F: relaxed, PBE.

Calculated values
uncorrected energy	-5.52	eV per atom
space-group type	No. 122
theoretical density	6.71	g/cm³
crystal system	tetragonal

Structure (POSCAR):
```
NbGe2F
1.0
7.148 0.000 0.000
0.000 7.148 0.000
3.574 3.574 2.493
Nb Ge F
2 4 2
Direct
0.000 0.000 0.000
0.750 0.250 0.500
0.583 0.125 0.250
0.167 0.625 0.250
0.375 0.417 0.750
0.875 0.833 0.750
0.500 0.500 0.000
0.250 0.750 0.500
```

=====

[11]
NaSCl2O: relaxed, PBE.

Calculated values
uncorrected energy	-3.10	eV per atom
space-group type	No. 123
theoretical density	1.98	g/cm³
crystal system	tetragonal

Structure (POSCAR):
```
NaSCl2O
1.0
-5.604 -1.368 1.613
-1.490 -0.687 -5.761
0.829 -3.200 0.167
Na S O Cl
1 1 1 2
Direct
0.500 0.500 0.500
0.000 0.000 0.500
0.000 0.000 0.000
0.000 0.500 0.000
0.500 0.000 0.000
```

=====

[12]
NbTcP: relaxed, PBE.

Calculated values
uncorrected energy	-9.22	eV per atom
space-group type	No. 51
theoretical density	8.30	g/cm³
crystal system	orthorhombic

Structure (POSCAR):
```
NbTcP
1.0
-2.071 -2.308 0.809
2.030 -3.760 -5.535
8.387 -5.209 6.615
Nb Tc P
6 6 6
Direct
0.000 0.223 0.968
0.000 0.777 0.032
0.000 0.223 0.532
0.000 0.777 0.468
0.000 0.212 0.250
0.000 0.788 0.750
0.500 0.467 0.121
0.500 0.533 0.879
0.500 0.467 0.379
0.500 0.533 0.621
0.500 0.846 0.250
0.500 0.154 0.750
0.500 0.074 0.102
0.500 0.926 0.898
0.500 0.074 0.398
0.500 0.926 0.602
0.000 0.594 0.250
0.000 0.406 0.750
```